## TbScGa4Pt2 (PBE)

Data for a relaxed structure of TbScGa4Pt2.

* total energy: -5.29 eV per atom
* spin magnetization: 0.004 μB/atom
* space-group type: Amm2

Unit cell a=6.670 b=5.454 c=5.454 alpha=46.58 beta=90.00 gamma=90.00
Sites, in units of the cell vectors:
Ga: 0.296 0.372 0.372
Ga: 0.704 0.372 0.372
Ga: 0.196 0.631 0.631
Ga: 0.804 0.631 0.631
Pt: 0.000 0.203 0.203
Pt: 0.500 0.794 0.794
Sc: 0.000 0.915 0.915
Tb: 0.500 0.082 0.082